Entry 1:
DFT (GGA-PBE) results for an optimized crystal structure of YSi4Pt2.

Results
total energy	-6.40	eV/atom
size of the total moment	0.0	μB per formula unit

a b c (Å): 16.577 4.243 6.585
angles (deg): 90.00 90.00 90.00
Space group Pnma (No. 62)
Inequivalent atoms, fractional coordinates:
Y 0.144 0.250 0.025 (multiplicity 4)
Si 0.041 0.750 0.858 (multiplicity 4)
Si 0.062 0.250 0.461 (multiplicity 4)
Si 0.177 0.750 0.338 (multiplicity 4)
Si 0.188 0.750 0.738 (multiplicity 4)
Pt 0.026 0.750 0.240 (multiplicity 4)
Pt 0.210 0.250 0.545 (multiplicity 4)

---

Entry 2:
DFT (GGA-PBE) results for an optimized crystal structure of YSi3Pt9.

Results
total energy	-6.59	eV/atom
size of the total moment	0.0	μB per formula unit

a b c (Å): 5.276 13.026 6.426
angles (deg): 90.00 108.45 90.00
Space group C2/m (No. 12)
Inequivalent atoms, fractional coordinates:
Y 0.000 0.000 0.000 (multiplicity 2)
Si 0.000 0.500 0.500 (multiplicity 2)
Si 0.250 0.250 0.000 (multiplicity 4)
Pt 0.000 0.000 0.500 (multiplicity 2)
Pt 0.067 0.391 0.226 (multiplicity 8)
Pt 0.103 0.181 0.308 (multiplicity 8)